Entry 1:
{
  "formula": "LiSm2AlCu6",
  "functional": "PBE",
  "state": "relaxed",
  "cell": [[-2.281, -5.743, 0.125], [5.505, -2.257, -2.250], [2.963, -4.503, 3.077]],
  "species": ["Al", "Cu", "Sm", "Sm", "Cu", "Li", "Cu", "Cu", "Cu", "Cu"],
  "fractional_positions": [[0.000, 0.000, 0.000], [0.171, 0.385, 0.489], [0.302, 0.905, 0.399], [0.698, 0.095, 0.601], [0.339, 0.385, 0.789], [0.500, 0.500, 0.000], [0.829, 0.615, 0.511], [0.129, 0.618, 0.042], [0.661, 0.615, 0.211], [0.871, 0.382, 0.958]],
  "total_magnetization_mub_per_fu": 0.0,
  "delta_e_f_ev_per_atom": -0.08,
  "sg": "No. 2",
  "volume_a3_per_cell": 172,
  "final_energy_ev_per_fu": -40.50
}



Entry 2:
{
  "formula": "PmSm5Al2",
  "functional": "PBE",
  "state": "relaxed",
  "cell": [[3.672, 0.000, 0.000], [1.836, 8.102, -0.583], [1.836, 1.882, 7.902]],
  "species": ["Pm", "Al", "Sm", "Al", "Sm", "Sm", "Sm", "Sm"],
  "fractional_positions": [[0.000, 0.000, 0.000], [0.271, 0.229, 0.229], [0.000, 0.500, 0.500], [0.729, 0.771, 0.771], [0.359, 0.421, 0.860], [0.359, 0.860, 0.421], [0.641, 0.579, 0.140], [0.641, 0.140, 0.579]],
  "total_magnetization_mub_per_fu": 0.0,
  "delta_e_f_ev_per_atom": -0.07,
  "sg": "No. 71",
  "polymorph_energy_mev_per_atom": 0,
  "volume_a3_per_cell": 239,
  "final_energy_ev_per_fu": -36.43
}